A plane-wave DFT calculation with PBE was carried out for an optimized crystal structure of Ac3In2Ni4Ge2.

Calculated total energy (eV/atom): -4.976
Volume (Å³ per cell): 255.6
Formation energy (eV per atom): -0.4154
Density (g/cm3): 8.39

Cell and atoms, written as POSCAR:
```
Ac3In2Ni4Ge2
1.0
4.351 0.000 0.000
-2.175 3.768 0.000
0.000 0.000 15.589
In Ac Ni Ge
2 3 4 2
Direct
0.667 0.333 0.439
0.333 0.667 0.561
0.000 0.000 0.000
0.000 0.000 0.272
0.000 0.000 0.728
0.667 0.333 0.611
0.667 0.333 0.137
0.333 0.667 0.863
0.333 0.667 0.389
0.333 0.667 0.140
0.667 0.333 0.860
```